Material: Pr4TcBr2Cl
Method: DFT, PBE
State: optimized geometry

a b c (Å): 3.7761 7.7087 8.1391
angles (deg): 102.40 90.00 90.00
Last column: nearest neighbours and their distance in Å.
Positions (direct):
Cl (0.0000, 0.0000, 0.0000)  6 Pr 3.02-3.05
Pr (0.5000, 0.2690, 0.2104)  1 Tc 2.72, 2 Cl 3.05
Pr (0.0000, 0.7294, 0.2184)  2 Tc 2.92, 1 Cl 3.02, 1 Br 3.18
Br (0.0000, 0.5000, 0.5000)  6 Pr 3.18-3.24
Tc (0.5000, 0.5000, 0.0000)  6 Pr 2.72-2.92
Br (0.5000, 0.0000, 0.5000)  6 Pr 3.33-3.46
Pr (0.0000, 0.2706, 0.7816)  2 Tc 2.92, 1 Cl 3.02, 1 Br 3.18
Pr (0.5000, 0.7310, 0.7896)  1 Tc 2.72, 2 Cl 3.05

* uncorrected formation energy: -696 kJ/mol of formula units
* spin magnetization: 0.00 μB/f.u.
* ρ: 6.15 g/cm³